1.
A relaxed structure of Tc5C3. Source: the Alexandria database, functional GGA-PBE.

Energy relative to the elements in eV/atom: 0.586
SG: P4/mmm, No. 123

Lattice parameters (Å, degrees): 2.706 2.706 11.889 90.00 90.00 90.00
Sites, in units of the cell vectors:
Tc 0.000 0.000 0.000
Tc 0.000 0.000 0.220
Tc 0.000 0.000 0.780
Tc 0.500 0.500 0.392
Tc 0.500 0.500 0.608
C 0.000 0.000 0.500
C 0.500 0.500 0.121
C 0.500 0.500 0.879

***

2.
A relaxed structure of CdTcIr2. Source: the Alexandria database, functional GGA-PBE.

Energy relative to the elements in eV/atom: 0.269
SG: Imm2, No. 44

Lattice parameters (Å, degrees): 5.756 5.756 5.756 152.00 132.42 56.11
Sites, in units of the cell vectors:
Cd 0.254 0.754 0.500
Ir 0.972 0.972 0.000
Ir 0.742 0.242 0.500
Tc 0.531 0.531 0.000

***

3.
A relaxed structure of CoPBr2. Source: the Alexandria database, functional GGA-PBE.

Uncorrected formation energy in eV per atom: 0.809
SG: R-3m, No. 166

Lattice parameters (Å, degrees): 9.164 9.164 9.164 21.07 21.07 21.07
Sites, in units of the cell vectors:
P 0.500 0.500 0.500
Co 0.000 0.000 0.000
Br 0.916 0.916 0.916
Br 0.084 0.084 0.084

***

4.
A relaxed structure of ZrCrGe2. Source: the Alexandria database, functional GGA-PBE.

Energy relative to the elements in eV/atom: 0.252
SG: R-3m, No. 166

Lattice parameters (Å, degrees): 3.082 3.082 9.882 81.03 81.03 60.00
Sites, in units of the cell vectors:
Cr 0.000 0.000 0.000
Ge 0.087 0.087 0.740
Ge 0.913 0.913 0.260
Zr 0.500 0.500 0.500

***

5.
A relaxed structure of SrTi2As2. Source: the Alexandria database, functional GGA-PBE.

Energy relative to the elements in eV/atom: -0.517
SG: I4/mmm, No. 139

Lattice parameters (Å, degrees): 4.942 4.942 5.795 64.76 64.76 90.00
Sites, in units of the cell vectors:
Sr 0.000 0.000 0.000
As 0.750 0.250 0.500
As 0.250 0.750 0.500
Ti 0.347 0.347 0.307
Ti 0.653 0.653 0.693

***

6.
A relaxed structure of GePtI2O. Source: the Alexandria database, functional GGA-PBE.

Uncorrected formation energy in eV per atom: 0.261
SG: P4/mmm, No. 123

Lattice parameters (Å, degrees): 5.637 5.637 3.635 90.00 90.00 90.00
Sites, in units of the cell vectors:
I 0.000 0.500 0.000
I 0.500 0.000 0.000
Ge 0.000 0.000 0.000
O 0.000 0.000 0.500
Pt 0.500 0.500 0.500

***

> Which formula does entry 1 have?

Tc5C3